A geometry-optimized TcNi6Rh2 structure. Source: Alexandria, functional PBE.

Properties
As for the symmetry: C2/c (15). The value obtained for the formation energy from the elements is 0.111 eV/atom.

Cell lengths 4.4899, 12.0694, 4.4898 Å; angles 76.09, 100.51, 76.09 degrees
Each line ends with the local moment (μB).
Positions (direct):
Tc1 0.6572 0.7500 0.3429  -0.04
Tc2 0.3428 0.2500 0.6571  -0.04
Ni1 0.1516 0.4749 0.3119  0.26
Ni2 0.6881 0.0251 0.8484  0.26
Ni3 0.8484 0.5251 0.6881  0.26
Ni4 0.3119 0.9749 0.1516  0.26
Ni5 0.1241 0.0813 0.5441  0.26
Ni6 0.4559 0.4187 0.8759  0.26
Ni7 0.8759 0.9187 0.4559  0.26
Ni8 0.5441 0.5813 0.1241  0.26
Ni9 0.0575 0.8312 0.0590  0.28
Ni10 0.9409 0.6688 0.9425  0.28
Ni11 0.9425 0.1688 0.9410  0.28
Ni12 0.0591 0.3312 0.0575  0.28
Rh1 0.2600 0.6471 0.5413  0.15
Rh2 0.4587 0.8529 0.7400  0.15
Rh3 0.7400 0.3529 0.4587  0.15
Rh4 0.5413 0.1471 0.2600  0.15


A geometry-optimized Ho2GaOsC structure. Source: Alexandria, functional PBE.

Properties
As for the symmetry: P4/mmm (123). The value obtained for the formation energy from the elements is -0.441 eV/atom.

Cell lengths 3.9070, 4.9177, 4.9177 Å; angles 90.00, 90.00, 90.00 degrees
Positions (direct):
Ho1 0.0000 0.0000 0.5000
Ho2 0.0000 0.5000 0.0000
Ga1 0.5000 0.5000 0.5000
Os1 0.5000 0.0000 0.0000
C1 0.0000 0.0000 0.0000


A geometry-optimized La6Pm4Ho structure. Source: Alexandria, functional PBE.

Properties
As for the symmetry: I-42m (121). The value obtained for the formation energy from the elements is 0.257 eV/atom.

Cell lengths 7.0223, 7.0223, 9.5352 Å; angles 111.61, 111.61, 90.00 degrees
Positions (direct):
La1 0.8714 0.4923 0.3637
La2 0.4923 0.8714 0.3637
La3 0.5077 0.5077 0.6363
La4 0.0000 0.5000 0.0000
La5 0.1286 0.1286 0.6363
La6 0.5000 0.0000 0.0000
Pm1 0.0647 0.7242 0.7889
Pm2 0.9353 0.9353 0.2111
Pm3 0.7242 0.0647 0.7889
Pm4 0.2758 0.2758 0.2111
Ho1 0.5000 0.5000 0.0000


A geometry-optimized Dy2HoPaCo2 structure. Source: Alexandria, functional PBE.

Properties
As for the symmetry: Ibam (72). The value obtained for the formation energy from the elements is -0.195 eV/atom.

Cell lengths 6.7082, 6.8029, 7.9008 Å; angles 115.50, 115.12, 90.00 degrees
Positions (direct):
Dy1 0.7008 0.9060 0.4017
Dy2 0.2008 0.4957 0.4017
Dy3 0.7992 0.5043 0.5983
Dy4 0.2992 0.0940 0.5983
Ho1 0.2500 0.0000 0.0000
Ho2 0.7500 0.0000 0.0000
Pa1 0.7500 0.5000 0.0000
Pa2 0.2500 0.5000 0.0000
Co1 0.4105 0.6178 0.8209
Co2 0.5895 0.3822 0.1791
Co3 0.0895 0.7968 0.1791
Co4 0.9105 0.2032 0.8209


A geometry-optimized Tb2Dy2Se3 structure. Source: Alexandria, functional PBE.

Properties
The raw formation energy comes out at -9.9 eV/f.u. As for the symmetry: C2/m (12).

Cell lengths 3.9862, 6.1453, 7.8862 Å; angles 92.90, 104.64, 90.00 degrees
Positions (direct):
Tb1 0.1599 0.2651 0.3199
Tb2 0.8401 0.7349 0.6801
Dy1 0.4352 0.2714 0.8705
Dy2 0.5648 0.7286 0.1295
Se1 0.0000 0.0000 0.0000
Se2 0.2029 0.7423 0.4058
Se3 0.7971 0.2577 0.5942


A geometry-optimized Ce4HfPa3N8 structure. Source: Alexandria, functional PBE.

Properties
The raw formation energy comes out at -26.2 eV/f.u. As for the symmetry: R-3m (166).

Cell lengths 6.9742, 7.0124, 6.9743 Å; angles 119.82, 120.00, 90.00 degrees
Positions (direct):
Ce1 0.5000 0.0000 0.0000
Ce2 0.5000 0.0000 0.5000
Ce3 0.0000 0.0000 0.0000
Ce4 0.0000 0.0000 0.5000
Hf1 0.0000 0.5000 0.0000
Pa1 0.5000 0.5000 0.0000
Pa2 0.5000 0.5000 0.5000
Pa3 0.0000 0.5000 0.5000
N1 0.2328 0.7187 0.9859
N2 0.2328 0.7187 0.4657
N3 0.2572 0.2717 0.5145
N4 0.7531 0.7187 0.9859
N5 0.2469 0.2813 0.0141
N6 0.7428 0.7283 0.4855
N7 0.7672 0.2813 0.5343
N8 0.7672 0.2813 0.0141